1.
First-principles (PBE-GGA) data for a relaxed structure of Sr2ZrFe, as listed in Alexandria.

a b c (Å): 3.5080 3.5080 32.8887
angles (deg): 90.00 90.00 120.00
Fractional positions:
Sr1 0.0000 0.0000 0.2418
Sr2 0.0000 0.0000 0.7582
Sr3 0.3333 0.6667 0.4249
Sr4 0.3333 0.6667 0.9084
Sr5 0.6667 0.3333 0.0916
Sr6 0.6667 0.3333 0.5751
Zr1 0.0000 0.0000 0.0000
Zr2 0.3333 0.6667 0.6667
Zr3 0.6667 0.3333 0.3333
Fe1 0.0000 0.0000 0.5000
Fe2 0.3333 0.6667 0.1667
Fe3 0.6667 0.3333 0.8333

Output
SG: No. 166
Mass density, g/cm³: 4.58
E_tot, eV per atom: -4.239
Density of states at the Fermi level, states/eV per cell: 19.36
ΔE to the lowest computed polymorph, kJ per mole of atoms: 53.9

2.
First-principles (PBE-GGA) data for a relaxed structure of InCoRu2, as listed in Alexandria.

a b c (Å): 2.8406 2.8406 7.2942
angles (deg): 90.00 90.00 90.00
Fractional positions:
In1 0.0000 0.0000 0.0000
Co1 0.5000 0.5000 0.7418
Ru1 0.0000 0.0000 0.5198
Ru2 0.5000 0.5000 0.2855

Output
SG: No. 99
Mass density, g/cm³: 10.61
E_tot, eV per atom: -6.911
Density of states at the Fermi level, states/eV per cell: 4.15

3.
First-principles (PBE-GGA) data for a relaxed structure of RbLiHg3, as listed in Alexandria.

a b c (Å): 6.5576 6.5576 6.5576
angles (deg): 90.00 90.00 90.00
Fractional positions:
Rb1 0.0000 0.0000 0.0000
Li1 0.5000 0.5000 0.5000
Hg1 0.0000 0.0000 0.5000
Hg2 0.0000 0.5000 0.0000
Hg3 0.5000 0.0000 0.0000

Output
SG: No. 221
Mass density, g/cm³: 4.09
E_tot, eV per atom: -0.474
Density of states at the Fermi level, states/eV per cell: 3.03
ΔE to the lowest computed polymorph, kJ per mole of atoms: 50.3

4.
First-principles (PBE-GGA) data for a relaxed structure of ScFe3P2, as listed in Alexandria.

a b c (Å): 5.0366 5.0366 3.4327
angles (deg): 90.00 90.00 120.00
Fractional positions:
Sc1 0.0000 0.0000 0.0000
Fe1 0.0000 0.5000 0.5000
Fe2 0.5000 0.0000 0.5000
Fe3 0.5000 0.5000 0.5000
P1 0.3333 0.6667 0.0000
P2 0.6667 0.3333 0.0000

Output
SG: No. 191
Mass density, g/cm³: 6.04
E_tot, eV per atom: -7.773
Density of states at the Fermi level, states/eV per cell: 4.05

5.
First-principles (PBE-GGA) data for a relaxed structure of AgSnSe3, as listed in Alexandria.

a b c (Å): 4.1834 6.0454 14.3603
angles (deg): 90.00 90.00 90.00
Fractional positions:
Ag1 0.0000 0.0000 0.0000
Ag2 0.0000 0.5000 0.5000
Sn1 0.5000 0.0000 0.7223
Sn2 0.5000 0.5000 0.2223
Se1 0.0000 0.2319 0.1634
Se2 0.0000 0.2681 0.6634
Se3 0.0000 0.7319 0.6634
Se4 0.0000 0.7681 0.1634
Se5 0.5000 0.0000 0.8987
Se6 0.5000 0.5000 0.3987

Output
SG: No. 38
Mass density, g/cm³: 4.24
E_tot, eV per atom: -3.507
Density of states at the Fermi level, states/eV per cell: 4.43
Formation energy from raw total energies, eV/atom: -0.05
ΔE to the lowest computed polymorph, kJ per mole of atoms: 12.2

6.
First-principles (PBE-GGA) data for a relaxed structure of InSiSb2Te, as listed in Alexandria.

a b c (Å): 5.2845 5.2845 5.3612
angles (deg): 90.00 90.00 90.00
Fractional positions:
In1 0.0000 0.0000 0.0000
Si1 0.5000 0.5000 0.5000
Sb1 0.0000 0.5000 0.5000
Sb2 0.5000 0.0000 0.5000
Te1 0.5000 0.5000 0.0000

Output
SG: No. 123
Mass density, g/cm³: 5.70
E_tot, eV per atom: -3.490
Density of states at the Fermi level, states/eV per cell: 4.13
Formation energy from raw total energies, eV/atom: 0.42
ΔE to the lowest computed polymorph, kJ per mole of atoms: 0.0

Q: Which of these has the highest mass density?
A: InCoRu2